Compound: La5PdAu2
Source: Alexandria via LeMat-Bulk
Functional: PBE
Structure: relaxed

```
16
Lattice="9.427 0.000 0.000 0.000 12.474 0.000 0.000 0.000 4.140" Properties=species:S:1:pos:R:3 pbc="T T T"
La 0.000 0.000 0.000
La 1.390 3.631 0.000
La 1.781 7.237 2.070
La 2.933 1.000 2.070
La 3.323 9.868 0.000
La 4.713 6.237 0.000
La 6.103 2.606 0.000
La 6.494 11.473 2.070
La 7.646 5.236 2.070
La 8.037 8.843 0.000
Pd 0.000 6.237 0.000
Pd 4.713 0.000 0.000
Au 0.687 10.231 2.070
Au 4.026 3.994 2.070
Au 5.401 8.480 2.070
Au 8.739 2.243 2.070
```

Values from the calculation:
As for the crystal system: orthorhombic. As for the formation energy: -587 meV/atom. As for the spin magnetization: 0.0 μB/f.u.

Compound: LaPdAu
Source: Alexandria via LeMat-Bulk
Functional: PBE
Structure: relaxed

```
6
Lattice="8.858 -1.933 0.000 8.858 1.933 0.000 -0.001 0.000 4.091" Properties=species:S:1:pos:R:3 pbc="T T T"
La 2.002 0.000 1.022
La 15.713 0.000 3.069
Pd 7.956 0.000 1.022
Pd 9.759 0.000 3.069
Au 5.144 0.000 1.029
Au 12.571 0.000 3.062
```

Values from the calculation:
As for the crystal system: monoclinic. As for the formation energy: -819 meV/atom. As for the spin magnetization: 0.0 μB/f.u.

Compound: La6PdAu
Source: Alexandria via LeMat-Bulk
Functional: PBE
Structure: relaxed

```
8
Lattice="-2.678 2.678 8.530 2.678 -2.678 8.530 2.678 2.678 -8.530" Properties=species:S:1:pos:R:3 pbc="T T T"
La 2.678 0.000 1.782
La 0.000 0.000 4.016
La 2.678 0.000 6.748
La 0.000 2.678 1.782
La 0.000 0.000 13.044
La 0.000 2.678 6.748
Pd 0.000 0.000 0.000
Au 0.000 0.000 8.530
```

Values from the calculation:
As for the crystal system: tetragonal. As for the formation energy: -358 meV/atom. As for the spin magnetization: 0.0 μB/f.u.

Compound: LaPd3Au
Source: Alexandria via LeMat-Bulk
Functional: PBE
Structure: relaxed

```
5
Lattice="5.087 0.000 0.000 0.000 5.087 0.000 0.000 0.000 5.087" Properties=species:S:1:pos:R:3 pbc="T T T"
La 0.000 0.000 0.000
Pd 0.000 0.000 2.544
Pd 0.000 2.544 0.000
Pd 2.544 0.000 0.000
Au 2.544 2.544 2.544
```

Values from the calculation:
As for the crystal system: cubic. As for the energy above the lowest structure with this stoichiometry: 1252.7 meV per atom. As for the formation energy: 639 meV/atom. As for the spin magnetization: 0.0 μB/f.u.

Compound: La2Pd4Au
Source: Alexandria via LeMat-Bulk
Functional: PBE
Structure: relaxed

```
7
Lattice="-2.527 2.527 7.064 2.527 -2.527 7.064 2.527 2.527 -7.064" Properties=species:S:1:pos:R:3 pbc="T T T"
La 0.000 0.000 1.859
La 0.000 0.000 12.269
Pd 2.527 0.000 0.000
Pd 0.000 0.000 4.406
Pd 0.000 2.527 0.000
Pd 0.000 0.000 9.722
Au 0.000 0.000 7.064
```

Values from the calculation:
As for the crystal system: tetragonal. As for the formation energy: -241 meV/atom. As for the spin magnetization: 0.0 μB/f.u.

Compound: La2PdAu3
Source: Alexandria via LeMat-Bulk
Functional: PBE
Structure: relaxed

```
6
Lattice="3.743 0.000 0.000 0.000 4.897 0.000 0.000 0.000 7.959" Properties=species:S:1:pos:R:3 pbc="T T T"
La 0.000 0.000 0.000
La 0.000 2.448 3.836
Pd 1.872 0.000 2.461
Au 1.872 0.000 5.194
Au 1.872 2.448 1.283
Au 1.872 2.448 6.486
```

Values from the calculation:
As for the crystal system: orthorhombic. As for the formation energy: -808 meV/atom. As for the spin magnetization: 0.0 μB/f.u.

Compound: LaPd3Au2
Source: Alexandria via LeMat-Bulk
Functional: PBE
Structure: relaxed

```
6
Lattice="5.525 0.000 0.000 -2.762 4.785 0.000 0.000 0.000 4.532" Properties=species:S:1:pos:R:3 pbc="T T T"
La 0.000 0.000 0.000
Pd -1.381 2.392 2.266
Pd 2.762 0.000 2.266
Pd 1.381 2.392 2.266
Au 0.000 3.190 0.000
Au 2.762 1.595 0.000
```

Values from the calculation:
As for the crystal system: hexagonal. As for the energy above the lowest structure with this stoichiometry: 0.0 meV per atom. As for the formation energy: -609 meV/atom. As for the spin magnetization: 0.0 μB/f.u.

Compound: La2Pd2Au
Source: Alexandria via LeMat-Bulk
Functional: PBE
Structure: relaxed

```
10
Lattice="7.821 0.000 0.000 0.000 7.821 0.000 0.000 0.000 3.932" Properties=species:S:1:pos:R:3 pbc="T T T"
La 1.391 2.520 0.000
La 2.520 6.430 0.000
La 5.302 1.391 0.000
La 6.430 5.302 0.000
Pd 0.995 4.905 1.966
Pd 2.916 0.995 1.966
Pd 4.905 6.827 1.966
Pd 6.827 2.916 1.966
Au 0.000 0.000 1.966
Au 3.911 3.911 1.966
```

Values from the calculation:
As for the crystal system: tetragonal. As for the energy above the lowest structure with this stoichiometry: 0.0 meV per atom. As for the formation energy: -851 meV/atom. As for the spin magnetization: 0.0 μB/f.u.

Compound: LaPd2Au2
Source: Alexandria via LeMat-Bulk
Functional: PBE
Structure: relaxed

```
10
Lattice="-2.049 2.049 12.653 2.049 -2.049 12.653 2.049 2.049 -12.653" Properties=species:S:1:pos:R:3 pbc="T T T"
La 0.000 0.000 3.115
La 0.000 0.000 22.190
Pd 2.049 0.000 6.326
Pd 0.000 0.000 10.772
Pd 0.000 0.000 14.534
Pd 0.000 2.049 6.326
Au 2.049 0.000 0.000
Au 0.000 0.000 8.149
Au 0.000 2.049 0.000
Au 0.000 0.000 17.156
```

Values from the calculation:
As for the crystal system: tetragonal. As for the energy above the lowest structure with this stoichiometry: 36.2 meV per atom. As for the formation energy: -554 meV/atom. As for the spin magnetization: 0.0 μB/f.u.

Compound: La3Pd2Au2
Source: Alexandria via LeMat-Bulk
Functional: PBE
Structure: relaxed

```
7
Lattice="4.500 0.000 0.000 -2.240 5.029 0.000 -0.017 -1.809 8.552" Properties=species:S:1:pos:R:3 pbc="T T T"
La 0.000 0.000 0.000
La -0.010 1.234 6.070
La 2.252 1.987 2.482
Pd 0.005 3.134 0.691
Pd 2.237 0.086 7.861
Au 0.003 0.016 3.150
Au 2.239 3.204 5.402
```

Values from the calculation:
As for the crystal system: triclinic. As for the formation energy: -705 meV/atom. As for the spin magnetization: 0.0 μB/f.u.

Compound: LaPd4Au6
Source: Alexandria via LeMat-Bulk
Functional: PBE
Structure: relaxed

```
11
Lattice="-3.345 3.345 5.197 3.345 -3.345 5.197 3.345 3.345 -5.197" Properties=species:S:1:pos:R:3 pbc="T T T"
La 0.000 0.000 0.000
Pd 1.722 1.722 -1.640
Pd 1.622 -1.622 6.837
Pd 1.622 1.622 3.558
Pd -1.622 1.622 6.837
Au 3.345 0.000 0.000
Au 1.041 -1.041 4.100
Au 2.304 2.304 1.098
Au 0.000 3.345 0.000
Au -1.041 1.041 4.100
Au 1.041 1.041 6.295
```

Values from the calculation:
As for the crystal system: tetragonal. As for the formation energy: -101 meV/atom. As for the spin magnetization: 0.0 μB/f.u.

Compound: LaPd4Au2
Source: Alexandria via LeMat-Bulk
Functional: PBE
Structure: relaxed

```
7
Lattice="-4.128 4.128 2.643 4.128 -4.128 2.643 4.128 4.128 -2.643" Properties=species:S:1:pos:R:3 pbc="T T T"
La 0.000 0.000 0.000
Pd 4.128 2.324 0.000
Pd 2.324 4.128 0.000
Pd 1.803 0.000 2.643
Pd 0.000 1.803 2.643
Au 4.128 0.000 1.321
Au 0.000 4.128 1.321
```

Values from the calculation:
As for the crystal system: tetragonal. As for the energy above the lowest structure with this stoichiometry: 598.2 meV per atom. As for the formation energy: 79 meV/atom. As for the spin magnetization: 0.0 μB/f.u.